A plane-wave DFT calculation with GGA-PBEsol was carried out for a relaxed CsSrSeN2 crystal.

Cell: 5.1027 5.1027 5.9550 Å, 90.00 90.00 90.00°
With the nearest neighbours (Å) after each atom.
Element x y z (fractional)
N (0.0000, 0.5000, 0.0000)  2 Sr 2.55
N (0.5000, 0.0000, 0.0000)  2 Sr 2.55
Sr (0.0000, 0.0000, 0.0000)  4 N 2.55
Cs (0.5000, 0.5000, 0.5000)  4 Se 3.61, 8 N 3.92
Se (0.0000, 0.0000, 0.5000)  2 Sr 2.98

A plane-wave DFT calculation with GGA-PBEsol was carried out for a relaxed CsTcSeN2 crystal.

Cell: 4.1273 4.1273 6.4773 Å, 90.00 90.00 90.00°
With the nearest neighbours (Å) after each atom.
Element x y z (fractional)
Se (0.0000, 0.0000, 0.5000)  4 Tc 2.92, 2 Cs 3.24
Tc (0.5000, 0.5000, 0.5000)  4 Se 2.92
Cs (0.0000, 0.0000, 0.0000)  4 N 2.06
N (0.0000, 0.5000, 0.0000)  2 Cs 2.06
N (0.5000, 0.0000, 0.0000)  2 Cs 2.06

Respective energy values: -3.996 -3.867 eV/atom.
Respective magnetic moment values: 5.0 3.8 μB per cell.
Respective formation energy from raw total energies values: 741 2755 meV/atom.